1.
MgTaV2O6 | Alexandria via LeMat-Bulk | PBE+U | relaxed; calculated total energy = -8.221 eV/atom; total moment = 5.00 μB per formula unit
1.0
5.226 -0.002 -0.001
2.612 4.521 -0.002
2.618 1.505 4.766
O Mg Ta V
6 1 1 2
direct
0.122 0.427 0.751 O
0.928 0.592 0.247 O
0.700 0.122 0.751 O
0.592 0.234 0.246 O
0.427 0.701 0.751 O
0.233 0.928 0.247 O
0.811 0.811 0.567 Mg
0.316 0.316 0.053 Ta
0.515 0.515 0.454 V
0.017 0.017 0.949 V

***

2.
Mg2TaWO6 | Alexandria via LeMat-Bulk | PBE+U | relaxed; offset from the most stable computed form = 56.9 meV/atom; calculated total energy = -7.656 eV/atom; total moment = 3.00 μB per formula unit
1.0
7.764 0.000 0.000
0.000 5.386 0.000
0.000 0.148 5.449
Mg O Ta W
4 12 2 2
direct
0.250 0.987 0.969 Mg
0.750 0.013 0.031 Mg
0.750 0.493 0.540 Mg
0.250 0.507 0.460 Mg
0.250 0.874 0.577 O
0.567 0.687 0.338 O
0.933 0.687 0.338 O
0.432 0.153 0.183 O
0.433 0.313 0.662 O
0.932 0.847 0.817 O
0.568 0.847 0.817 O
0.750 0.365 0.899 O
0.067 0.313 0.662 O
0.068 0.153 0.183 O
0.750 0.126 0.423 O
0.250 0.635 0.101 O
0.500 0.000 0.500 Ta
0.000 0.000 0.500 Ta
0.500 0.500 0.000 W
0.000 0.500 0.000 W

***

3.
Mg2Ta2WO8 | Alexandria via LeMat-Bulk | PBE+U | relaxed; calculated total energy = -8.182 eV/atom; total moment = 2.98 μB per formula unit
1.0
-2.099 4.184 2.470
-5.348 -1.507 -2.255
0.813 -5.115 8.729
W O Ta Mg
2 16 4 4
direct
0.271 0.643 0.002 W
0.759 0.345 0.006 W
0.616 0.464 0.619 O
0.910 0.558 0.878 O
0.429 0.096 0.375 O
0.118 0.164 0.619 O
0.101 0.922 0.135 O
0.553 0.931 0.639 O
0.622 0.678 0.115 O
0.569 0.180 0.145 O
0.112 0.427 0.120 O
0.413 0.310 0.880 O
0.931 0.302 0.392 O
0.436 0.816 0.858 O
0.862 0.851 0.389 O
0.353 0.555 0.391 O
0.934 0.038 0.860 O
0.056 0.722 0.643 O
0.213 0.253 0.247 Ta
0.772 0.990 0.234 Ta
0.757 0.721 0.762 Ta
0.257 0.039 0.761 Ta
0.228 0.871 0.445 Mg
0.714 0.580 0.438 Mg
0.244 0.427 0.548 Mg
0.745 0.138 0.537 Mg

***

4.
Mg2TaWO6 | Alexandria via LeMat-Bulk | PBE+U | relaxed; offset from the most stable computed form = 0.0 meV/atom; calculated total energy = -7.713 eV/atom; total moment = 3.00 μB per formula unit
1.0
5.008 -2.650 -0.002
5.008 2.650 -0.002
3.608 0.000 4.369
O Mg Ta W
6 2 1 1
direct
0.576 0.213 0.861 O
0.682 0.096 0.388 O
0.388 0.682 0.096 O
0.213 0.861 0.576 O
0.096 0.388 0.682 O
0.861 0.576 0.213 O
0.773 0.773 0.773 Mg
0.277 0.277 0.277 Mg
0.482 0.482 0.482 Ta
0.981 0.981 0.981 W

***

5.
Mg2TaWO6 | Alexandria via LeMat-Bulk | PBE+U | relaxed; offset from the most stable computed form = 38.8 meV/atom; calculated total energy = -7.674 eV/atom; total moment = 3.00 μB per formula unit
1.0
5.472 0.000 0.000
0.000 5.346 0.019
0.000 5.330 7.800
O W Mg Ta
12 2 4 2
direct
0.592 0.866 0.261 O
0.311 0.426 0.917 O
0.811 0.574 0.583 O
0.661 0.230 0.448 O
0.908 0.866 0.761 O
0.189 0.426 0.417 O
0.408 0.134 0.739 O
0.092 0.134 0.239 O
0.689 0.574 0.083 O
0.839 0.230 0.948 O
0.339 0.770 0.552 O
0.161 0.770 0.052 O
0.500 0.000 0.000 W
0.000 0.000 0.500 W
0.465 0.227 0.264 Mg
0.035 0.227 0.764 Mg
0.965 0.773 0.236 Mg
0.535 0.773 0.736 Mg
0.000 0.500 0.000 Ta
0.500 0.500 0.500 Ta